[1]
Entry from Alexandria via LeMat-Bulk: crystalline LiSm12Ni6 at its relaxed geometry (PBE-GGA).

Cell lengths 8.629, 8.629, 8.629 Å; angles 109.47, 109.47, 109.47 degrees
Positions (direct):
Li: 0.000 0.000 0.000
Sm: 0.121 0.308 0.813
Sm: 0.187 0.496 0.308
Sm: 0.187 0.879 0.692
Sm: 0.308 0.187 0.496
Sm: 0.308 0.813 0.121
Sm: 0.496 0.308 0.187
Sm: 0.504 0.692 0.813
Sm: 0.692 0.187 0.879
Sm: 0.692 0.813 0.504
Sm: 0.813 0.121 0.308
Sm: 0.813 0.504 0.692
Sm: 0.879 0.692 0.187
Ni: 0.122 0.500 0.622
Ni: 0.378 0.878 0.500
Ni: 0.500 0.378 0.878
Ni: 0.500 0.622 0.122
Ni: 0.622 0.122 0.500
Ni: 0.878 0.500 0.378

Summary:
- energy of formation (eV/atom) = -0.222

***

[2]
Entry from Alexandria via LeMat-Bulk: crystalline Pr4SnSe5 at its relaxed geometry (PBE-GGA).

Cell lengths 17.606, 17.606, 17.606 Å; angles 14.00, 14.00, 14.00 degrees
Positions (direct):
Pr: 0.097 0.097 0.097
Pr: 0.299 0.299 0.299
Pr: 0.701 0.701 0.701
Pr: 0.903 0.903 0.903
Sn: 0.500 0.500 0.500
Se: 0.000 0.000 0.000
Se: 0.200 0.200 0.200
Se: 0.399 0.399 0.399
Se: 0.601 0.601 0.601
Se: 0.800 0.800 0.800

Summary:
- energy relative to the elements, uncorrected (eV/atom) = -1.5328

***

[3]
Entry from Alexandria via LeMat-Bulk: crystalline CaTm2Lu at its relaxed geometry (PBE-GGA).

Cell lengths 5.039, 5.039, 5.027 Å; angles 90.00, 90.00, 90.00 degrees
Positions (direct):
Ca: 0.000 0.000 0.000
Tm: 0.000 0.500 0.500
Tm: 0.500 0.000 0.500
Lu: 0.500 0.500 0.000

Summary:
- distance to the lowest polymorph of the same formula (meV per atom) = 77.6
- energy of formation (eV/atom) = 0.167

***

[4]
Entry from Alexandria via LeMat-Bulk: crystalline Pr3GaSb2Pd9 at its relaxed geometry (PBE-GGA).

Cell lengths 6.825, 6.825, 8.864 Å; angles 90.00, 90.00, 120.00 degrees
Positions (direct):
Pr: 0.000 0.000 0.000
Pr: 0.333 0.667 0.725
Pr: 0.667 0.333 0.275
Ga: 0.000 0.000 0.500
Sb: 0.333 0.667 0.200
Sb: 0.667 0.333 0.800
Pd: 0.000 0.500 0.000
Pd: 0.133 0.265 0.284
Pd: 0.133 0.867 0.284
Pd: 0.265 0.133 0.716
Pd: 0.500 0.000 0.000
Pd: 0.500 0.500 0.000
Pd: 0.735 0.867 0.284
Pd: 0.867 0.133 0.716
Pd: 0.867 0.735 0.716

Summary:
- energy relative to the elements, uncorrected (eV/atom) = -0.4993

***

[5]
Entry from Alexandria via LeMat-Bulk: crystalline Cs5Rb3F8 at its relaxed geometry (PBE-GGA).

Cell lengths 8.440, 8.440, 8.440 Å; angles 59.93, 59.93, 59.93 degrees
Positions (direct):
Cs: 0.000 0.000 0.000
Cs: 0.000 0.500 0.500
Cs: 0.500 0.000 0.500
Cs: 0.500 0.500 0.000
Cs: 0.500 0.500 0.500
Rb: 0.000 0.000 0.500
Rb: 0.000 0.500 0.000
Rb: 0.500 0.000 0.000
F: 0.240 0.750 0.750
F: 0.245 0.245 0.245
F: 0.250 0.250 0.760
F: 0.250 0.760 0.250
F: 0.750 0.240 0.750
F: 0.750 0.750 0.240
F: 0.755 0.755 0.755
F: 0.760 0.250 0.250

Summary:
- energy relative to the elements, uncorrected (eV/atom) = -2.6512

***

Question: What is the formula in the fifth record?
Answer: Cs5Rb3F8